## TiFeNiSe2 (SCAN)

Data for TiFeNiSe2 at its PBEsol-relaxed geometry.

The structure in POSCAR format:
```
TiFeNiSe2
1.0
4.294 0.000 0.000
0.000 4.781 0.000
0.000 0.000 4.781
Ti Se Ni Fe
1 2 1 1
direct
0.000 0.000 0.000
0.000 0.000 0.500
0.000 0.500 0.000
0.500 0.500 0.500
0.500 0.000 0.000
```

Computed properties:
SG = P4/mmm, No. 123
Energy = -17.372 eV/atom
D(E_F) = 4.93 states/eV/cell
Crystal system = tetragonal
Formation energy from raw total energies = 3.63 eV/f.u.